Run a
VASP calculation (PBE) on crystalline NaAsOsBr2 at its relaxed geometry.

For the density, the calculation gives 5.185 g/cm3. The total magnetization is 5.19 μB/f.u. As for the space group: No. 123. For the density of states at the Fermi level, the calculation gives 3.8 states/eV/f.u.

The structure in POSCAR format:
```
NaAsOsBr2
1.0
5.0637 0.0000 0.0000
0.0000 5.0637 0.0000
0.0000 0.0000 5.5946
Na As Os Br
1 1 1 2
Cartesian
0.0000 0.0000 0.0000
0.0000 0.0000 2.7973
2.5319 2.5319 2.7973
0.0000 2.5319 0.0000
2.5319 0.0000 0.0000
```

=====

Run b
VASP calculation (PBE) on crystalline NaAsOsBr2 at its relaxed geometry.

For the density, the calculation gives 5.468 g/cm3. The total magnetization is 0.00 μB/f.u. As for the space group: No. 123. For the density of states at the Fermi level, the calculation gives 5.6 states/eV/f.u.

The structure in POSCAR format:
```
NaAsOsBr2
1.0
5.4163 0.0000 0.0000
0.0000 5.4163 0.0000
0.0000 0.0000 4.6372
Na As Os Br
1 1 1 2
Cartesian
0.0000 0.0000 0.0000
2.7082 2.7082 0.0000
2.7082 2.7082 2.3186
0.0000 2.7082 2.3186
2.7082 0.0000 2.3186
```

=====

Most stable structure, least stable structure: run b, run a.